No. 1
Ba2Mn3AlO8: relaxed, GGA+U.

Results
The calculation puts the energy at -6.92 eV/atom. The value obtained for the total magnetization is 12.00 μB/cell. The calculation puts the density at 5.57 Mg/m³.

a = 3.884 Å, b = 3.884 Å, c = 11.747 Å
α = 90.00°, β = 90.00°, γ = 90.00°
Site moments in Bohr magnetons follow the coordinates.
Positions (direct):
Ba (0.500, 0.500, 0.168)  0.01
Mn (0.000, 0.000, 0.648)  4.14
O (0.000, 0.500, 0.606)  -0.06
O (0.000, 0.000, 0.178)  -0.01
O (0.000, 0.500, 0.394)  -0.06
Mn (0.000, 0.000, 0.352)  4.14
Ba (0.500, 0.500, 0.832)  0.01
Al (0.500, 0.500, 0.500)  0.02
O (0.500, 0.000, 0.000)  -0.05
O (0.000, 0.000, 0.822)  -0.01
Mn (0.000, 0.000, 0.000)  3.60
O (0.500, 0.000, 0.606)  -0.06
O (0.000, 0.500, 0.000)  -0.05
O (0.500, 0.000, 0.394)  -0.06


No. 2
BaMn4AlO7: relaxed, GGA+U.

Results
The calculation puts the energy at -7.32 eV/atom. The value obtained for the total magnetization is 38.00 μB/cell. The calculation puts the density at 4.76 Mg/m³.

a = 6.310 Å, b = 6.310 Å, c = 10.036 Å
α = 90.00°, β = 90.00°, γ = 120.00°
Site moments in Bohr magnetons follow the coordinates.
Positions (direct):
O (0.000, 0.000, 0.736)  0.02
O (0.959, 0.480, 0.761)  0.00
O (0.480, 0.959, 0.261)  0.00
Ba (0.333, 0.667, 0.022)  0.00
Mn (0.822, 0.645, 0.195)  4.38
O (0.000, 0.000, 0.236)  0.02
O (0.041, 0.520, 0.261)  0.00
Al (0.333, 0.667, 0.385)  0.02
Mn (0.178, 0.822, 0.695)  4.38
Mn (0.000, 0.000, 0.447)  4.56
O (0.520, 0.480, 0.761)  0.00
Mn (0.355, 0.178, 0.195)  4.38
O (0.816, 0.184, 0.992)  0.07
O (0.184, 0.369, 0.492)  0.07
Mn (0.822, 0.178, 0.195)  4.38
Mn (0.000, 0.000, 0.947)  4.56
O (0.369, 0.184, 0.992)  0.07
O (0.184, 0.816, 0.492)  0.07
Mn (0.178, 0.355, 0.695)  4.38
O (0.480, 0.520, 0.261)  0.00
O (0.816, 0.631, 0.992)  0.07
Mn (0.645, 0.822, 0.695)  4.38
Al (0.667, 0.333, 0.885)  0.02
O (0.631, 0.816, 0.492)  0.07
O (0.520, 0.041, 0.761)  0.00
Ba (0.667, 0.333, 0.522)  0.00


No. 3
Ba2Mn3AlO7: relaxed, GGA+U.

Results
The calculation puts the energy at -6.88 eV/atom. The value obtained for the total magnetization is 13.32 μB/cell. The calculation puts the density at 5.36 Mg/m³.

a = 3.805 Å, b = 4.009 Å, c = 11.750 Å
α = 90.00°, β = 90.00°, γ = 90.00°
Site moments in Bohr magnetons follow the coordinates.
Positions (direct):
O (0.000, 0.500, 0.673)  0.03
Mn (0.000, 0.500, 0.144)  4.31
O (0.500, 0.500, 0.107)  -0.01
O (0.000, 0.000, 0.107)  -0.01
Mn (0.000, 0.500, 0.856)  4.31
Al (0.500, 0.000, 0.000)  0.02
O (0.000, 0.500, 0.327)  0.03
Mn (0.000, 0.500, 0.500)  4.15
O (0.000, 0.000, 0.500)  -0.01
O (0.500, 0.500, 0.893)  -0.01
O (0.000, 0.000, 0.893)  -0.01
Ba (0.500, 0.000, 0.684)  0.00
Ba (0.500, 0.000, 0.316)  0.00


No. 4
BaMnAlO4: relaxed, GGA+U.

Results
The calculation puts the energy at -7.00 eV/atom. The value obtained for the total magnetization is 7.98 μB/cell. The calculation puts the density at 4.54 Mg/m³.

a = 5.292 Å, b = 5.711 Å, c = 7.210 Å
α = 90.00°, β = 107.87°, γ = 90.00°
Site moments in Bohr magnetons follow the coordinates.
Positions (direct):
Ba (0.716, 0.750, 0.939)  0.00
O (0.667, 0.250, 0.893)  0.00
O (0.014, 0.969, 0.325)  -0.06
Al (0.720, 0.250, 0.666)  0.01
Ba (0.284, 0.250, 0.061)  0.00
O (0.537, 0.750, 0.551)  0.05
Mn (0.895, 0.750, 0.498)  3.92
O (0.986, 0.469, 0.675)  -0.06
Al (0.280, 0.750, 0.334)  0.01
O (0.463, 0.250, 0.449)  0.05
O (0.333, 0.750, 0.107)  0.00
O (0.986, 0.031, 0.675)  -0.06
O (0.014, 0.531, 0.325)  -0.06
Mn (0.105, 0.250, 0.502)  3.92


No. 5
Ba2Mn2AlTlO7: relaxed, GGA+U.

Results
The calculation puts the energy at -6.38 eV/atom. The value obtained for the total magnetization is 8.32 μB/cell. The calculation puts the density at 6.14 Mg/m³.

a = 3.770 Å, b = 3.770 Å, c = 13.846 Å
α = 90.00°, β = 90.00°, γ = 90.00°
Site moments in Bohr magnetons follow the coordinates.
Positions (direct):
O (0.000, 0.000, 0.778)  0.06
O (0.500, 0.000, 0.588)  -0.06
O (0.500, 0.500, 0.000)  -0.02
Mn (0.000, 0.000, 0.629)  4.04
O (0.000, 0.500, 0.412)  -0.06
Ba (0.500, 0.500, 0.806)  0.01
Tl (0.000, 0.000, 0.000)  0.00
Ba (0.500, 0.500, 0.194)  0.01
Al (0.500, 0.500, 0.500)  0.03
O (0.500, 0.000, 0.412)  -0.06
O (0.000, 0.000, 0.222)  0.06
Mn (0.000, 0.000, 0.371)  4.04
O (0.000, 0.500, 0.588)  -0.06